[1]
# UBe17Os

A relaxed UBe17Os crystal (PBE, the Alexandria database).

Uncorrected energy: -4.510 eV per atom
SG: R3m, No. 160
ρ: 5.462 g cm⁻³

Unit cell a=5.6495 b=5.6495 c=5.6495 alpha=83.19 beta=83.19 gamma=83.19
Closest atoms and distances in Å follow each position.
Element x y z (fractional)
U: 0.6602 0.6602 0.6602  19 Be 2.69-2.85
Be: 0.2894 0.0091 0.7020  8 Be 2.10-2.30
Be: 0.7020 0.2894 0.0091  8 Be 2.10-2.30
Be: 0.0091 0.7020 0.2894  8 Be 2.10-2.30
Be: 0.2894 0.7020 0.0091  8 Be 2.10-2.30
Be: 0.0091 0.2894 0.7020  8 Be 2.10-2.30
Be: 0.7020 0.0091 0.2894  8 Be 2.10-2.30
Be: 0.3418 0.8661 0.3418  9 Be 2.15-2.26
Be: 0.3418 0.3418 0.8661  9 Be 2.15-2.26
Be: 0.8661 0.3418 0.3418  9 Be 2.15-2.26
Be: 0.6492 0.1665 0.6492  9 Be 2.19-2.43
Be: 0.6492 0.6492 0.1665  9 Be 2.19-2.43
Be: 0.1665 0.6492 0.6492  9 Be 2.19-2.43
Be: 0.9945 0.5046 0.9945  10 Be 2.13-2.32
Be: 0.9945 0.9945 0.5046  10 Be 2.13-2.32
Be: 0.5046 0.9945 0.9945  10 Be 2.13-2.32
Be: 0.9076 0.9076 0.9076  4 Be 2.10-2.28
Be: 0.1006 0.1006 0.1006  7 Be 2.10-2.32
Os: 0.3222 0.3222 0.3222  10 Be 2.41-2.62

[2]
# UBe4Os

A relaxed UBe4Os crystal (PBE, the Alexandria database).

Uncorrected energy: -6.162 eV per atom
SG: F-43m, No. 216
ρ: 10.432 g cm⁻³

Unit cell a=4.7106 b=4.7106 c=4.7106 alpha=60.00 beta=60.00 gamma=60.00
Closest atoms and distances in Å follow each position.
Element x y z (fractional)
Os: 0.0000 0.0000 0.0000  12 Be 2.76, 4 U 2.88
U: 0.2500 0.2500 0.2500  12 Be 2.77, 4 Os 2.88
Be: 0.6270 0.6270 0.1190  6 Be 2.32-2.39
Be: 0.6270 0.1190 0.6270  6 Be 2.32-2.39
Be: 0.6270 0.6270 0.6270  6 Be 2.32-2.39
Be: 0.1190 0.6270 0.6270  6 Be 2.32-2.39